Record 1
# PuBeOs

A relaxed PuBeOs crystal (PBE-GGA, Alexandria via LeMat-Bulk).

The structure belongs to space group Imma (No. 74); the cell edges are 4.601, 5.537 and 7.397 Å and the angles 90.00°, 90.00° and 90.00°. The asymmetric unit holds Pu at (0.000, 0.250, 0.129), Be at (0.250, 0.250, 0.750) and Os at (0.000, 0.000, 0.500).

For the distance to the lowest polymorph of the same formula, the calculation gives 0 meV/atom.

=====

Record 2
# Er4Ga2I5

A relaxed Er4Ga2I5 crystal (PBE-GGA, Alexandria via LeMat-Bulk).

The structure belongs to space group Immm (No. 71); the cell edges are 4.113, 8.485 and 27.320 Å and the angles 90.00°, 90.00° and 90.00°. The asymmetric unit holds Er at (0.000, 0.000, 0.143), Er at (0.000, 0.297, 0.500), Ga at (0.000, 0.000, 0.045), I at (0.000, 0.255, 0.331) and I at (0.000, 0.500, 0.000).

As for the uncorrected formation energy: -794 meV per atom.

=====

Record 3
# ScZn2Tc

A relaxed ScZn2Tc crystal (PBE-GGA, Alexandria via LeMat-Bulk).

The structure belongs to space group C2/m (No. 12); the cell edges are 5.391, 8.174 and 2.853 Å and the angles 90.00°, 90.22° and 90.00°. The asymmetric unit holds Sc at (0.000, 0.000, 0.000), Zn at (0.250, 0.250, 0.500) and Tc at (0.000, 0.500, 0.000).

For the distance to the lowest polymorph of the same formula, the calculation gives 143 meV/atom.

=====

Record 4
# ZrCrTc

A relaxed ZrCrTc crystal (PBE-GGA, Alexandria via LeMat-Bulk).

The structure belongs to space group P3m1 (No. 156); the cell edges are 3.0138, 3.0138 and 6.3333 Å and the angles 90.00°, 90.00° and 120.00°. The asymmetric unit holds Zr at (0.0000, 0.0000, 0.0000), Cr at (0.3333, 0.6667, 0.3572) and Tc at (0.6667, 0.3333, 0.6234).

For the distance to the lowest polymorph of the same formula, the calculation gives 518 meV/atom.

=====

Record 5
# PrY4Sc3

A relaxed PrY4Sc3 crystal (PBE-GGA, Alexandria via LeMat-Bulk).

The structure belongs to space group Immm (No. 71); the cell edges are 3.339, 11.300 and 12.672 Å and the angles 90.00°, 90.00° and 90.00°. The asymmetric unit holds Pr at (0.000, 0.000, 0.000), Y at (0.000, 0.256, 0.132), Sc at (0.000, 0.000, 0.500) and Sc at (0.000, 0.500, 0.259).

For the distance to the lowest polymorph of the same formula, the calculation gives 0 meV/atom.

=====

Record 6
# Ca3C

A relaxed Ca3C crystal (PBE-GGA, Alexandria via LeMat-Bulk).

The structure belongs to space group P-6m2 (No. 187); the cell edges are 3.6967, 3.6967 and 9.9359 Å and the angles 90.00°, 90.00° and 120.00°. The asymmetric unit holds Ca at (0.0000, 0.0000, 0.0000), Ca at (0.6667, 0.3333, 0.3524) and C at (0.0000, 0.0000, 0.5000).

For the distance to the lowest polymorph of the same formula, the calculation gives 195 meV/atom.

=====

Record 7
# Sc3Ge2Au

A relaxed Sc3Ge2Au crystal (PBE-GGA, Alexandria via LeMat-Bulk).

The structure belongs to space group Pnma (No. 62); the cell edges are 11.062, 4.163 and 10.545 Å and the angles 90.00°, 90.00° and 90.00°. The asymmetric unit holds Sc at (0.044, 0.250, 0.121), Sc at (0.136, 0.750, 0.577), Sc at (0.213, 0.250, 0.816), Ge at (0.000, 0.250, 0.694), Ge at (0.182, 0.750, 0.024) and Au at (0.130, 0.250, 0.372).

=====

Record 8
# La4PtSeS2

A relaxed La4PtSeS2 crystal (PBE-GGA, Alexandria via LeMat-Bulk).

The structure belongs to space group P2/m (No. 10); the cell edges are 7.380, 4.175 and 7.416 Å and the angles 90.00°, 109.48° and 90.00°. The asymmetric unit holds La at (0.237, 0.000, 0.246), La at (0.249, 0.500, 0.756), Pt at (0.500, 0.000, 0.000), Se at (0.500, 0.500, 0.500), S at (0.000, 0.000, 0.500) and S at (0.000, 0.500, 0.000).

As for the uncorrected formation energy: -1837 meV per atom.

=====

So what do the calculations give for E_tot? Going down the list: -9.866 -3.708 -4.907 -9.207 -6.017 -3.365 -5.981 -6.524 eV per atom.
So what do the calculations give for magnetic moment? Going down the list: 4.36 0.00 0.00 0.00 0.00 1.01 0.00 0.00 μB per formula unit.